Entry from Alexandria: a geometry-optimized SrTl4Ir structure (PBE).

Output
Energy relative to the elements: 417.5 meV per atom
Total magnetization: 0.00 μB/f.u.
Density of states at the Fermi level: 16.798 states/eV/cell
Total DFT energy (no corrections): -70.01 eV per cell

The structure in CIF format:
```
data_SrTl4Ir
_symmetry_space_group_name_H-M 'F -4 3 m'
_symmetry_Int_Tables_number 216
_symmetry_space_group_name_Hall 'F -4 2 3'
_cell_length_a 8.752
_cell_length_b 8.752
_cell_length_c 8.752
_cell_angle_alpha 90.00
_cell_angle_beta 90.00
_cell_angle_gamma 90.00
loop_
_atom_site_label
_atom_site_fract_x
_atom_site_fract_y
_atom_site_fract_z
Sr1 0.000 0.000 0.000
Tl1 0.124 0.124 0.624
Ir1 0.250 0.250 0.250
```